Record 1
Material: AgSnO3
Method: DFT, SCAN
State: PBEsol geometry

Space group: Pm-3m
Calculated volume (Å³/f.u.): 64
Total energy (eV/atom): -17.342
Size of the total moment (Bohr magnetons per cell): 0.000
Crystal system: cubic
Raw formation energy (meV per atom): -145

a = 3.998 Å, b = 3.998 Å, c = 3.998 Å
α = 90.00°, β = 90.00°, γ = 90.00°
Sites, in units of the cell vectors:
Sn 0.500 0.500 0.500
Ag 0.000 0.000 0.000
O 0.500 0.000 0.000
O 0.000 0.500 0.000
O 0.000 0.000 0.500

---

Record 2
Material: MgReBi2Br
Method: DFT, SCAN
State: PBEsol geometry

Space group: P4/mmm
Calculated volume (Å³/f.u.): 145
Total energy (eV/atom): -49.140
Size of the total moment (Bohr magnetons per cell): 3.311
Crystal system: tetragonal
Raw formation energy (meV per atom): 1398

a = 5.032 Å, b = 5.372 Å, c = 5.372 Å
α = 90.00°, β = 90.00°, γ = 90.00°
Site moments in Bohr magnetons follow the coordinates.
Sites, in units of the cell vectors:
Bi 0.000 0.500 0.000  -0.07
Bi 0.000 0.000 0.500  -0.07
Re 0.500 0.000 0.000  2.61
Br 0.500 0.500 0.500  0.06
Mg 0.000 0.000 0.000  0.00

---

Record 3
Material: NiSe3O
Method: DFT, SCAN
State: PBEsol geometry

Space group: Pm-3m
Calculated volume (Å³/f.u.): 95
Total energy (eV/atom): -15.688
Size of the total moment (Bohr magnetons per cell): 3.926
Crystal system: cubic
Raw formation energy (meV per atom): 840

a = 4.562 Å, b = 4.562 Å, c = 4.562 Å
α = 90.00°, β = 90.00°, γ = 90.00°
Site moments in Bohr magnetons follow the coordinates.
Sites, in units of the cell vectors:
Se 0.000 0.500 0.000  0.47
Se 0.500 0.000 0.000  0.47
Se 0.000 0.000 0.500  0.47
O 0.500 0.500 0.500  1.33
Ni 0.000 0.000 0.000  0.33